No. 1
The following is a GGA-PBE calculation of a geometry-optimized Sm5Y12Th2 structure, from the Alexandria database.

Uncorrected energy: -5.963 eV per atom
Calculated formation energy: 2.70 eV/f.u.
D(E_F): 56.1 states/eV per cell
Spin magnetization: 0.0 μB per cell

```
data_Sm5Y12Th2
_cell_length_a 15.592
_cell_length_b 9.486
_cell_length_c 8.698
_cell_angle_alpha 90.00
_cell_angle_beta 92.40
_cell_angle_gamma 90.00
_symmetry_space_group_name_H-M 'C 1 2/m 1'
_symmetry_Int_Tables_number 12
loop_
_symmetry_equiv_pos_as_xyz
'x,y,z'
'-x,-y,-z'
'-x,y,-z'
'x,-y,z'
'x+1/2,y+1/2,z'
'-x+1/2,-y+1/2,-z'
'-x+1/2,y+1/2,-z'
'x+1/2,-y+1/2,z'
loop_
_atom_site_label
_atom_site_type_symbol
_atom_site_fract_x
_atom_site_fract_y
_atom_site_fract_z
Sm1 Sm 0.000 0.000 0.000
Sm2 Sm 0.202 0.500 0.522
Sm3 Sm 0.231 0.000 0.071
Y1 Y 0.058 0.500 0.829
Y2 Y 0.075 0.000 0.376
Y3 Y 0.128 0.309 0.165
Y4 Y 0.148 0.178 0.739
Th1 Th 0.000 0.328 0.500
```



No. 2
The following is a GGA-PBE calculation of a geometry-optimized Sm3Y7Th2 structure, from the Alexandria database.

Uncorrected energy: -6.173 eV per atom
Calculated formation energy: 0.17 eV/f.u.
D(E_F): 16.6 states/eV per cell
Spin magnetization: 0.0 μB per cell

```
data_Sm3Y7Th2
_cell_length_a 3.605
_cell_length_b 6.238
_cell_length_c 17.495
_cell_angle_alpha 86.49
_cell_angle_beta 84.12
_cell_angle_gamma 90.00
_symmetry_space_group_name_H-M 'P -1'
_symmetry_Int_Tables_number 2
loop_
_symmetry_equiv_pos_as_xyz
'x,y,z'
'-x,-y,-z'
loop_
_atom_site_label
_atom_site_type_symbol
_atom_site_fract_x
_atom_site_fract_y
_atom_site_fract_z
Sm1 Sm 0.000 0.000 0.000
Sm2 Sm 0.333 0.444 0.333
Y1 Y 0.085 0.359 0.832
Y2 Y 0.251 0.759 0.498
Y3 Y 0.415 0.135 0.169
Y4 Y 0.500 0.500 0.000
Th1 Th 0.167 0.056 0.668
```



No. 3
The following is a GGA-PBE calculation of a geometry-optimized Sm5Y4Th4 structure, from the Alexandria database.

Uncorrected energy: -6.051 eV per atom
Calculated formation energy: 0.46 eV/f.u.
D(E_F): 37.6 states/eV per cell
Spin magnetization: 0.0 μB per cell

```
data_Sm5Y4Th4
_cell_length_a 12.983
_cell_length_b 12.983
_cell_length_c 5.077
_cell_angle_alpha 90.00
_cell_angle_beta 90.00
_cell_angle_gamma 90.00
_symmetry_space_group_name_H-M 'I 4/m'
_symmetry_Int_Tables_number 87
_symmetry_space_group_name_Hall '-I 4'
loop_
_atom_site_label
_atom_site_type_symbol
_atom_site_fract_x
_atom_site_fract_y
_atom_site_fract_z
Sm1 Sm 0.000 0.000 0.000
Sm2 Sm 0.038 0.196 0.500
Y1 Y 0.153 0.766 0.000
Th1 Th 0.073 0.386 0.000
```